(1)
DFT (PBE) results for a relaxed structure of TeSe6Cl2.

```
18
Lattice="-6.759 8.800 -5.086 -9.477 5.316 2.615 -2.877 10.584 5.356" Properties=species:S:1:pos:R:3 pbc="T T T"
Te -6.651 11.267 2.230
Te -12.461 13.433 0.654
Se -10.359 11.955 -2.430
Se -14.048 15.026 -0.726
Se -5.064 9.673 3.611
Se -8.753 12.745 5.315
Se -11.955 11.342 -0.875
Se -10.883 12.897 4.261
Se -12.398 15.854 6.138
Se -6.714 8.846 -3.254
Se -7.685 9.531 -1.191
Se -7.157 13.358 3.759
Se -11.427 15.169 4.075
Se -8.229 11.803 -1.376
Cl -4.795 6.568 -1.198
Cl -10.762 14.930 -0.408
Cl -14.317 18.131 4.082
Cl -8.350 9.770 3.292
```

Properties
Raw total energy, eV per atom: -3.2533
SG: No. 15
Total moment, μB/cell: 0.000

=====

(2)
DFT (PBE) results for a relaxed structure of TeSeCl2.

```
4
Lattice="3.810 0.000 0.000 0.000 7.510 0.385 0.000 4.261 5.546" Properties=species:S:1:pos:R:3 pbc="T T T"
Se 0.000 6.752 3.912
Te 1.905 8.479 4.538
Cl 0.000 10.441 5.057
Cl 1.905 3.757 1.322
```

Properties
Raw total energy, eV per atom: -2.8910
E above lowest polymorph, meV/atom: 1
SG: No. 6
Total moment, μB/cell: 0.000